No. 1
Below is a relaxed TaAsSe2 crystal, with properties calculated at the PBE level.

Values from the calculation:
The calculation puts the total DFT energy (no corrections) at -5.982 eV per atom. The calculation puts the volume at 18.65 Å³/atom.

Geometry as POSCAR:
```
TaAsSe2
1.0
-2.2018 -1.3051 -2.0036
-0.1780 -2.6266 1.9065
-5.1799 3.0438 3.7097
As Se Ta
1 2 1
Direct
0.5000 0.5000 0.7500
0.0000 0.0000 0.0358
0.0000 0.0000 0.4642
0.5000 0.5000 0.2500
```

No. 2
Below is a relaxed TaAsSe2 crystal, with properties calculated at the PBE level.

Values from the calculation:
The calculation puts the total DFT energy (no corrections) at -6.170 eV per atom. The calculation puts the volume at 21.94 Å³/atom.

Geometry as POSCAR:
```
TaAsSe2
1.0
1.9486 0.0000 8.8952
-0.9743 1.6876 8.8952
-0.9743 -1.6876 8.8952
As Se Ta
1 2 1
Direct
0.0000 0.0000 0.0000
0.8981 0.8981 0.8981
0.1019 0.1019 0.1019
0.5000 0.5000 0.5000
```

No. 3
Below is a relaxed TaAs2Se crystal, with properties calculated at the PBE level.

Values from the calculation:
The calculation puts the total DFT energy (no corrections) at -6.317 eV per atom. The calculation puts the volume at 22.12 Å³/atom.

Geometry as POSCAR:
```
TaAs2Se
1.0
4.9307 -0.0153 -0.0454
3.7439 3.2086 -0.0454
1.1108 0.4089 5.5612
As Se Ta
2 1 1
Direct
0.9366 0.9366 0.1068
0.7613 0.7613 0.7830
0.5818 0.5818 0.4677
0.2203 0.2203 0.1425
```